Arrangement w

This record from the Open Quantum Materials Database describes NaRePbW after structural relaxation. The functional is PBE.

Unit cell a=4.658 b=4.658 c=4.658 alpha=60.00 beta=60.00 gamma=60.00
Atoms (fractional coordinates):
1 Pb 0.000 0.000 0.000
2 Re 0.500 0.500 0.500
3 W 0.250 0.250 0.250
4 Na 0.750 0.750 0.750

Results
**Space-group type**: F-43m, No. 216
**Spin magnetization**: 0.01 μB per cell

---

Arrangement x

This record from the Open Quantum Materials Database describes NaRePbW after structural relaxation. The functional is PBE.

Unit cell a=4.638 b=4.638 c=4.638 alpha=60.00 beta=60.00 gamma=60.00
Atoms (fractional coordinates):
1 W 0.000 0.000 0.000
2 Re 0.250 0.250 0.250
3 Na 0.750 0.750 0.750
4 Pb 0.500 0.500 0.500

Results
**Space-group type**: F-43m, No. 216
**Spin magnetization**: 0.00 μB per cell

---

The most stable of them is arrangement x.

---

Arrangement w

This record from the Open Quantum Materials Database describes CuAg4 after structural relaxation. The functional is PBE.

Unit cell a=10.322 b=10.322 c=4.082 alpha=90.00 beta=90.00 gamma=157.18
Atoms (fractional coordinates):
1 Cu 0.401 0.599 0.000
2 Cu 0.599 0.401 0.000
3 Ag 0.901 0.099 0.500
4 Ag 0.099 0.901 0.500
5 Ag 0.303 0.697 0.500
6 Ag 0.000 0.000 0.000
7 Ag 0.803 0.197 0.000
8 Ag 0.500 0.500 0.500
9 Ag 0.197 0.803 0.000
10 Ag 0.697 0.303 0.500

Results
**Space-group type**: Cmmm, No. 65

---

Arrangement x

This record from the Open Quantum Materials Database describes CuAg4 after structural relaxation. The functional is PBE.

Unit cell a=7.123 b=2.906 c=8.278 alpha=90.00 beta=101.73 gamma=90.00
Atoms (fractional coordinates):
1 Ag 0.733 0.750 0.777
2 Ag 0.267 0.250 0.223
3 Ag 0.590 0.750 0.142
4 Ag 0.410 0.250 0.858
5 Ag 0.035 0.250 0.658
6 Ag 0.965 0.750 0.342
7 Ag 0.344 0.750 0.545
8 Ag 0.656 0.250 0.455
9 Cu 0.880 0.250 0.053
10 Cu 0.120 0.750 0.947

Results
**Space-group type**: P2_1/m, No. 11

---

The most stable of them is arrangement x.

---

Arrangement w

This record from the Open Quantum Materials Database describes SrMgNiSn after structural relaxation. The functional is PBE.

Unit cell a=4.948 b=4.948 c=4.948 alpha=60.00 beta=60.00 gamma=60.00
Atoms (fractional coordinates):
1 Mg 0.750 0.750 0.750
2 Ni 0.000 0.000 0.000
3 Sr 0.500 0.500 0.500
4 Sn 0.250 0.250 0.250

Results
**Space-group type**: F-43m, No. 216
**Spin magnetization**: 0.01 μB per cell

---

Arrangement x

This record from the Open Quantum Materials Database describes SrMgNiSn after structural relaxation. The functional is PBE.

Unit cell a=5.105 b=5.105 c=5.105 alpha=60.00 beta=60.00 gamma=60.00
Atoms (fractional coordinates):
1 Ni 0.500 0.500 0.500
2 Sr 0.250 0.250 0.250
3 Mg 0.750 0.750 0.750
4 Sn 0.000 0.000 0.000

Results
**Space-group type**: F-43m, No. 216
**Spin magnetization**: 0.20 μB per cell

---

The most stable of them is arrangement x.

---

Arrangement w

This record from the Open Quantum Materials Database describes GaReB4 after structural relaxation. The functional is PBE.

Unit cell a=4.561 b=4.561 c=4.561 alpha=141.89 beta=108.92 gamma=83.62
Atoms (fractional coordinates):
1 Ga 0.000 0.000 0.000
2 B 0.082 0.744 0.338
3 B 0.918 0.256 0.662
4 B 0.594 0.256 0.338
5 B 0.406 0.744 0.662
6 Re 0.500 0.500 0.000

Results
**Space-group type**: Immm, No. 71
**Spin magnetization**: 0.00 μB per cell

---

Arrangement x

This record from the Open Quantum Materials Database describes GaReB4 after structural relaxation. The functional is PBE.

Unit cell a=2.999 b=2.999 c=7.252 alpha=90.00 beta=90.00 gamma=120.00
Atoms (fractional coordinates):
1 Ga 0.000 0.000 0.500
2 B 0.333 0.667 0.766
3 B 0.667 0.333 0.234
4 B 0.667 0.333 0.766
5 B 0.333 0.667 0.234
6 Re 0.000 0.000 0.000

Results
**Space-group type**: P6/mmm, No. 191
**Spin magnetization**: 0.00 μB per cell

---

The most stable of them is arrangement w.

---

Arrangement w

This record from the Open Quantum Materials Database describes AcPOsO after structural relaxation. The functional is PBE.

Unit cell a=3.551 b=5.620 c=7.562 alpha=90.00 beta=90.00 gamma=90.00
Atoms (fractional coordinates):
1 O 0.500 0.256 0.002
2 O 0.500 0.756 0.998
3 P 0.000 0.999 0.409
4 P 0.000 0.499 0.591
5 Ac 0.000 0.499 0.181
6 Ac 0.000 0.999 0.819
7 Os 0.500 0.000 0.228
8 Os 0.500 0.500 0.772

Results
**Space-group type**: Pmc2_1, No. 26
**Spin magnetization**: 0.00 μB per cell

---

Arrangement x

This record from the Open Quantum Materials Database describes AcPOsO after structural relaxation. The functional is PBE.

Unit cell a=4.413 b=4.301 c=7.390 alpha=90.00 beta=90.00 gamma=90.00
Site moments in Bohr magnetons follow the coordinates.
Atoms (fractional coordinates):
1 Ac 0.000 0.751 0.104  0.01
2 Ac 0.000 0.249 0.604  0.01
3 Os 0.500 0.259 0.939  0.19
4 Os 0.500 0.741 0.439  0.19
5 P 0.500 0.248 0.272  0.03
6 P 0.500 0.752 0.772  0.03
7 O 0.000 0.248 0.938  0.01
8 O 0.000 0.752 0.438  0.01

Results
**Space-group type**: Pmc2_1, No. 26
**Spin magnetization**: 0.65 μB per cell

---

The most stable of them is arrangement x.

---

Arrangement w

This record from the Open Quantum Materials Database describes TmIrPb2O6 after structural relaxation. The functional is PBE.

Unit cell a=5.090 b=5.097 c=5.762 alpha=89.06 beta=88.53 gamma=73.91
Site moments in Bohr magnetons follow the coordinates.
Atoms (fractional coordinates):
1 Pb 0.308 0.307 0.517  0.02
2 Pb 0.692 0.693 0.483  0.02
3 O 0.285 0.720 0.737  0.03
4 O 0.276 0.718 0.264  0.03
5 O 0.715 0.280 0.263  0.03
6 O 0.733 0.734 0.002  0.24
7 O 0.267 0.266 0.998  0.24
8 O 0.724 0.282 0.736  0.03
9 Ir 0.500 0.500 0.000  0.88
10 Tm 0.000 0.000 0.000  0.01

Results
**Space-group type**: P-1, No. 2
**Spin magnetization**: 1.76 μB per cell

---

Arrangement x

This record from the Open Quantum Materials Database describes TmIrPb2O6 after structural relaxation. The functional is PBE.

Unit cell a=5.733 b=5.733 c=5.845 alpha=120.06 beta=120.06 gamma=60.12
Site moments in Bohr magnetons follow the coordinates.
Atoms (fractional coordinates):
1 O 0.288 0.807 0.813  0.03
2 O 0.765 0.765 0.684  0.07
3 O 0.807 0.288 0.813  0.04
4 O 0.193 0.712 0.187  0.04
5 O 0.235 0.235 0.316  0.07
6 O 0.712 0.193 0.187  0.03
7 Ir 0.000 0.000 0.000  0.43
8 Pb 0.747 0.747 0.233  0.01
9 Pb 0.253 0.253 0.767  0.01
10 Tm 0.500 0.500 0.500  0.01

Results
**Space-group type**: C2/m, No. 12
**Spin magnetization**: 0.79 μB per cell

---

The most stable of them is arrangement x.

---

Arrangement w

This record from the Open Quantum Materials Database describes YReNO after structural relaxation. The functional is PBE.

Unit cell a=3.835 b=4.954 c=5.327 alpha=90.00 beta=90.00 gamma=90.00
Atoms (fractional coordinates):
1 N 0.000 0.499 0.668
2 N 0.000 0.999 0.332
3 O 0.500 0.756 0.996
4 O 0.500 0.256 0.004
5 Re 0.500 0.499 0.657
6 Re 0.500 0.999 0.343
7 Y 0.000 0.500 0.208
8 Y 0.000 0.000 0.792

Results
**Space-group type**: Pmc2_1, No. 26
**Spin magnetization**: 0.00 μB per cell

---

Arrangement x

This record from the Open Quantum Materials Database describes YReNO after structural relaxation. The functional is PBE.

Unit cell a=3.248 b=5.653 c=6.241 alpha=90.00 beta=90.00 gamma=90.00
Atoms (fractional coordinates):
1 O 0.500 0.184 0.140
2 O 0.500 0.816 0.640
3 N 0.000 0.420 0.664
4 N 0.000 0.580 0.164
5 Y 0.500 0.829 0.995
6 Y 0.500 0.171 0.495
7 Re 0.000 0.329 0.948
8 Re 0.000 0.671 0.448

Results
**Space-group type**: Pmc2_1, No. 26
**Spin magnetization**: 0.00 μB per cell

---

The most stable of them is arrangement w.